(1)
Ge2AsWO: single point on PBEsol structure, meta-GGA SCAN.

The calculation puts the uncorrected energy at -0.95059 Ha/atom. For the density, the calculation gives 8.10 g cm⁻³. The value obtained for the magnetization is 0.530 μB/atom.

Cell: 3.5311 4.9393 4.9393 Å, 90.00 90.00 90.00°
Closest atoms and distances in Å follow each position.
Sites, in units of the cell vectors:
O: 0.5000 0.0000 0.0000  2 As 1.77
As: 0.0000 0.0000 0.0000  2 O 1.77
Ge: 0.0000 0.0000 0.5000  2 As 2.47
Ge: 0.0000 0.5000 0.0000  2 As 2.47
W: 0.5000 0.5000 0.5000  8 Ge 3.04

(2)
GeAsOsSe2: single point on PBEsol structure, meta-GGA SCAN.

The calculation puts the uncorrected energy at -1.05024 Ha/atom. For the density, the calculation gives 8.02 g cm⁻³. The value obtained for the magnetization is 0.000 μB/atom.

Cell: 4.6490 4.6977 4.6977 Å, 90.00 90.00 90.00°
Closest atoms and distances in Å follow each position.
Sites, in units of the cell vectors:
As: 0.5000 0.0000 0.0000  2 Ge 2.32
Os: 0.5000 0.5000 0.5000  8 Se 3.30, 4 As 3.32
Ge: 0.0000 0.0000 0.0000  2 As 2.32, 4 Se 2.35
Se: 0.0000 0.0000 0.5000  2 Ge 2.35
Se: 0.0000 0.5000 0.0000  2 Ge 2.35

(3)
Zr2GeAsOs: single point on PBEsol structure, meta-GGA SCAN.

The calculation puts the uncorrected energy at -1.25325 Ha/atom. For the density, the calculation gives 7.98 g cm⁻³. For the formation energy, the calculation gives 197 kJ/mol of formula units. The value obtained for the magnetization is 0.000 μB/atom.

Cell: 4.4613 4.9262 4.9262 Å, 90.00 90.00 90.00°
Closest atoms and distances in Å follow each position.
Sites, in units of the cell vectors:
As: 0.0000 0.0000 0.0000  2 Os 2.23, 4 Zr 2.46
Os: 0.5000 0.0000 0.0000  2 As 2.23
Ge: 0.5000 0.5000 0.5000  8 Zr 3.32, 4 Os 3.48
Zr: 0.0000 0.0000 0.5000  2 As 2.46
Zr: 0.0000 0.5000 0.0000  2 As 2.46

Question: Look up the magnetization of the first one.
Answer: 0.530 μB/atom

Question: Number 1 is which compound?
Answer: Ge2AsWO